A plane-wave DFT calculation with PBE-GGA was carried out for crystalline Ac4AlPb2 at its relaxed geometry. Values from VASP.

Geometry as Quantum ESPRESSO input:
```
&SYSTEM
  ibrav = 0, nat = 7, ntyp = 3
/
ATOMIC_SPECIES
Ac 227.00 Ac.upf
Al 26.98 Al.upf
Pb 207.20 Pb.upf
ATOMIC_POSITIONS crystal
Ac 0.076 0.076 0.288
Ac 0.350 0.350 0.244
Ac 0.650 0.650 0.756
Ac 0.924 0.924 0.712
Al 0.500 0.500 0.000
Pb 0.283 0.283 0.731
Pb 0.717 0.717 0.269
CELL_PARAMETERS angstrom
7.330 -2.763 0.000
7.330 2.763 0.000
-2.742 0.000 6.738
```

Values from the calculation:
ΔE to the lowest computed polymorph (eV per formula unit): 0.000
DFT formation energy (eV per atom): -0.23